No. 1
{
  "formula": "CsAg3Te4W",
  "functional": "PBE",
  "state": "relaxed",
  "density_g_cm3": 5.59,
  "sg": "P-43m",
  "energy_ev_per_atom": -3.914,
  "cell": [[6.993, 0.000, 0.000], [0.000, 6.993, 0.000], [0.000, 0.000, 6.993]],
  "species": ["Ag", "Ag", "Ag", "Cs", "Te", "Te", "Te", "Te", "W"],
  "fractional_positions": [[0.500, 0.500, 0.000], [0.500, 0.000, 0.500], [0.000, 0.500, 0.500], [0.000, 0.000, 0.000], [0.284, 0.284, 0.284], [0.716, 0.716, 0.284], [0.716, 0.284, 0.716], [0.284, 0.716, 0.716], [0.500, 0.500, 0.500]]
}

No. 2
{
  "formula": "Cs2Ag2Te4W",
  "functional": "PBE",
  "state": "relaxed",
  "density_g_cm3": 5.82,
  "sg": "C222",
  "energy_ev_per_atom": -3.978,
  "cell": [[3.329, -7.611, 0.000], [3.329, 7.611, 0.000], [0.000, 0.000, 6.622]],
  "species": ["Ag", "Ag", "Cs", "Cs", "Te", "Te", "Te", "Te", "W"],
  "fractional_positions": [[0.500, 0.500, 0.000], [0.000, 0.000, 0.500], [0.500, 0.000, 0.259], [0.000, 0.500, 0.741], [0.125, 0.332, 0.228], [0.875, 0.668, 0.228], [0.332, 0.125, 0.772], [0.668, 0.875, 0.772], [0.000, 0.000, 0.000]]
}

No. 3
{
  "formula": "CsZrAgTe3",
  "functional": "PBE",
  "state": "relaxed",
  "density_g_cm3": 5.78,
  "sg": "Cmcm",
  "energy_ev_per_atom": -4.395,
  "cell": [[2.125, -8.605, 0.000], [2.125, 8.605, 0.000], [0.000, 0.000, 11.230]],
  "species": ["Ag", "Ag", "Cs", "Cs", "Te", "Te", "Te", "Te", "Te", "Te", "Zr", "Zr"],
  "fractional_positions": [[0.461, 0.539, 0.250], [0.539, 0.461, 0.750], [0.754, 0.246, 0.250], [0.246, 0.754, 0.750], [0.382, 0.618, 0.037], [0.066, 0.934, 0.250], [0.382, 0.618, 0.463], [0.618, 0.382, 0.537], [0.934, 0.066, 0.750], [0.618, 0.382, 0.963], [0.000, 0.000, 0.000], [0.000, 0.000, 0.500]]
}

No. 4
{
  "formula": "CsZrAgTe3",
  "functional": "PBE",
  "state": "relaxed",
  "density_g_cm3": 5.88,
  "sg": "C2/m",
  "energy_ev_per_atom": -4.248,
  "cell": [[9.694, -2.103, 0.000], [9.694, 2.103, 0.000], [-1.112, 0.000, 9.907]],
  "species": ["Ag", "Ag", "Cs", "Cs", "Te", "Te", "Te", "Te", "Te", "Te", "Zr", "Zr"],
  "fractional_positions": [[0.476, 0.476, 0.280], [0.524, 0.524, 0.720], [0.148, 0.148, 0.075], [0.852, 0.852, 0.925], [0.500, 0.500, 0.000], [0.331, 0.331, 0.228], [0.684, 0.684, 0.381], [0.000, 0.000, 0.500], [0.316, 0.316, 0.619], [0.669, 0.669, 0.772], [0.843, 0.843, 0.427], [0.157, 0.157, 0.573]]
}

No. 5
{
  "formula": "CsZrAgTe3",
  "functional": "PBE",
  "state": "relaxed",
  "density_g_cm3": 5.86,
  "sg": "Pnma",
  "energy_ev_per_atom": -4.269,
  "cell": [[12.989, 0.000, 0.000], [0.000, 4.427, 0.000], [0.000, 0.000, 14.099]],
  "species": ["Ag", "Ag", "Ag", "Ag", "Cs", "Cs", "Cs", "Cs", "Te", "Te", "Te", "Te", "Te", "Te", "Te", "Te", "Te", "Te", "Te", "Te", "Zr", "Zr", "Zr", "Zr"],
  "fractional_positions": [[0.250, 0.250, 0.214], [0.750, 0.250, 0.286], [0.250, 0.750, 0.714], [0.750, 0.750, 0.786], [0.163, 0.750, 0.024], [0.663, 0.750, 0.476], [0.337, 0.250, 0.524], [0.837, 0.250, 0.976], [0.415, 0.250, 0.067], [0.760, 0.750, 0.165], [0.026, 0.250, 0.202], [0.526, 0.250, 0.298], [0.260, 0.750, 0.335], [0.915, 0.250, 0.433], [0.085, 0.750, 0.567], [0.740, 0.250, 0.665], [0.474, 0.750, 0.702], [0.974, 0.750, 0.798], [0.240, 0.250, 0.835], [0.585, 0.750, 0.933], [0.546, 0.750, 0.156], [0.046, 0.750, 0.344], [0.954, 0.250, 0.656], [0.454, 0.250, 0.844]]
}

No. 6
{
  "formula": "CsZrAgTe3",
  "functional": "PBE",
  "state": "relaxed",
  "density_g_cm3": 5.87,
  "sg": "Pnma",
  "energy_ev_per_atom": -4.269,
  "cell": [[12.985, 0.000, 0.000], [0.000, 4.473, 0.000], [0.000, 0.000, 13.925]],
  "species": ["Ag", "Ag", "Ag", "Ag", "Cs", "Cs", "Cs", "Cs", "Te", "Te", "Te", "Te", "Te", "Te", "Te", "Te", "Te", "Te", "Te", "Te", "Zr", "Zr", "Zr", "Zr"],
  "fractional_positions": [[0.751, 0.000, 0.214], [0.251, 0.000, 0.286], [0.749, 0.500, 0.714], [0.249, 0.500, 0.786], [0.836, 0.500, 0.024], [0.336, 0.500, 0.476], [0.664, 0.000, 0.524], [0.164, 0.000, 0.976], [0.584, 0.000, 0.067], [0.240, 0.500, 0.166], [0.974, 0.000, 0.201], [0.474, 0.000, 0.299], [0.740, 0.500, 0.334], [0.084, 0.000, 0.433], [0.916, 0.500, 0.567], [0.260, 0.000, 0.666], [0.526, 0.500, 0.701], [0.026, 0.500, 0.799], [0.760, 0.000, 0.834], [0.416, 0.500, 0.933], [0.454, 0.500, 0.157], [0.954, 0.500, 0.343], [0.046, 0.000, 0.657], [0.546, 0.000, 0.843]]
}